# 1
This record from Alexandria describes a relaxed ReSn3C crystal. The functional is GGA-PBE.

a b c (Å): 4.6044 4.6044 4.6044
angles (deg): 90.00 90.00 90.00
Last column: nearest neighbours and their distance in Å.
Atoms (fractional coordinates):
Re 0.0000 0.0000 0.0000  12 Sn 3.26
Sn 0.0000 0.5000 0.5000  2 C 2.30
Sn 0.5000 0.0000 0.5000  2 C 2.30
Sn 0.5000 0.5000 0.0000  2 C 2.30
C 0.5000 0.5000 0.5000  6 Sn 2.30

Summary:
The energy is -5.3041 eV per atom. For the total magnetic moment, the calculation gives 0.2572 μB/atom. As for the density of states at the Fermi level: 0.83 states/eV per atom. The formation energy comes out at 1.432 eV/atom.

# 2
This record from Alexandria describes a relaxed Ce3FeB2Rh9 crystal. The functional is GGA-PBE.

a b c (Å): 5.8563 5.8563 8.2677
angles (deg): 90.00 90.00 120.00
Last column: nearest neighbours and their distance in Å.
Atoms (fractional coordinates):
Ce 0.0000 0.0000 0.0000  12 Rh 2.93-2.95
Ce 0.3333 0.6667 0.6490  6 Rh 2.97
Ce 0.6667 0.3333 0.3510  6 Rh 2.97
Fe 0.0000 0.0000 0.5000  6 Rh 2.41
B 0.3333 0.6667 0.1495  6 Rh 2.06-2.09
B 0.6667 0.3333 0.8505  6 Rh 2.06-2.09
Rh 0.0000 0.5000 0.0000  2 B 2.09
Rh 0.1668 0.3336 0.2929  1 B 2.06
Rh 0.1668 0.8332 0.2929  1 B 2.06
Rh 0.3336 0.1668 0.7071  1 B 2.06
Rh 0.5000 0.0000 0.0000  2 B 2.09
Rh 0.5000 0.5000 0.0000  2 B 2.09
Rh 0.6664 0.8332 0.2929  1 B 2.06
Rh 0.8332 0.1668 0.7071  1 B 2.06
Rh 0.8332 0.6664 0.7071  1 B 2.06

Summary:
The energy is -7.6168 eV per atom. For the total magnetic moment, the calculation gives 0.1950 μB/atom. As for the density of states at the Fermi level: 0.65 states/eV per atom. The formation energy comes out at -0.565 eV/atom.

# 3
This record from Alexandria describes a relaxed ZrScTe3 crystal. The functional is GGA-PBE.

a b c (Å): 7.1247 7.1247 7.0961
angles (deg): 100.04 100.04 120.40
Last column: nearest neighbours and their distance in Å.
Atoms (fractional coordinates):
Zr 0.1669 0.8331 0.0000  6 Te 2.90-2.95
Zr 0.8331 0.1669 0.0000  6 Te 2.90-2.95
Sc 0.3294 0.6706 0.5000  6 Te 2.90-2.93
Sc 0.6706 0.3294 0.5000  6 Te 2.90-2.93
Te 0.0931 0.4095 0.7506  2 Sc 2.91-2.93, 2 Zr 2.92-2.95
Te 0.2536 0.2536 0.2521  2 Zr 2.90, 2 Sc 2.90
Te 0.4095 0.0931 0.7506  2 Sc 2.91-2.93, 2 Zr 2.92-2.95
Te 0.5905 0.9069 0.2494  2 Sc 2.91-2.93, 2 Zr 2.92-2.95
Te 0.7464 0.7464 0.7479  2 Zr 2.90, 2 Sc 2.90
Te 0.9069 0.5905 0.2494  2 Sc 2.91-2.93, 2 Zr 2.92-2.95

Summary:
The energy is -5.8584 eV per atom. The value obtained for the formation energy without anion corrections is -0.997 eV per atom. For the total magnetic moment, the calculation gives 0.0000 μB/atom. As for the density of states at the Fermi level: 0.41 states/eV per atom. The offset from the most stable computed form comes out at 0.0000 eV per atom.

# 4
This record from Alexandria describes a relaxed Cs2Rb3Hg2Au4 crystal. The functional is GGA-PBE.

a b c (Å): 14.9916 14.9916 14.9916
angles (deg): 158.04 158.04 31.25
Last column: nearest neighbours and their distance in Å.
Atoms (fractional coordinates):
Cs 0.1744 0.1744 0.0000  1 Hg 3.50, 4 Au 3.88
Cs 0.8256 0.8256 0.0000  1 Hg 3.50, 4 Au 3.88
Rb 0.3557 0.3557 0.0000  4 Au 3.35
Rb 0.5000 0.5000 0.0000  8 Au 3.74, 2 Rb 4.17
Rb 0.6443 0.6443 0.0000  4 Au 3.35
Hg 0.0532 0.0532 0.0000  4 Au 2.99, 1 Hg 3.07
Hg 0.9468 0.9468 0.0000  4 Au 2.99, 1 Hg 3.07
Au 0.0834 0.5834 0.5000  2 Hg 2.99
Au 0.4166 0.9166 0.5000  2 Hg 2.99
Au 0.5834 0.0834 0.5000  2 Hg 2.99
Au 0.9166 0.4166 0.5000  2 Hg 2.99

Summary:
The energy is -1.8236 eV per atom. For the total magnetic moment, the calculation gives 0.0000 μB/atom. As for the density of states at the Fermi level: 0.21 states/eV per atom. The formation energy comes out at -0.158 eV/atom.

# 5
This record from Alexandria describes a relaxed Zn3InGe3 crystal. The functional is GGA-PBE.

a b c (Å): 7.0237 7.0237 7.0237
angles (deg): 90.00 90.00 90.00
Last column: nearest neighbours and their distance in Å.
Atoms (fractional coordinates):
Zn 0.0000 0.2500 0.5000  4 Ge 2.48
Zn 0.0000 0.7500 0.5000  4 Ge 2.48
Zn 0.2500 0.5000 0.0000  4 Ge 2.48
Zn 0.5000 0.0000 0.2500  4 Ge 2.48
Zn 0.5000 0.0000 0.7500  4 Ge 2.48
Zn 0.7500 0.5000 0.0000  4 Ge 2.48
In 0.0000 0.0000 0.0000  12 Ge 3.93, 12 Zn 3.93
In 0.5000 0.5000 0.5000  12 Ge 3.93, 12 Zn 3.93
Ge 0.0000 0.5000 0.2500  4 Zn 2.48
Ge 0.0000 0.5000 0.7500  4 Zn 2.48
Ge 0.2500 0.0000 0.5000  4 Zn 2.48
Ge 0.5000 0.2500 0.0000  4 Zn 2.48
Ge 0.5000 0.7500 0.0000  4 Zn 2.48
Ge 0.7500 0.0000 0.5000  4 Zn 2.48

Summary:
The energy is -2.5449 eV per atom. For the total magnetic moment, the calculation gives 0.0000 μB/atom. As for the density of states at the Fermi level: 0.71 states/eV per atom. The formation energy comes out at 0.371 eV/atom.

# 6
This record from Alexandria describes a relaxed CeLuZrSc crystal. The functional is GGA-PBE.

a b c (Å): 5.2959 5.2959 5.2959
angles (deg): 60.00 60.00 60.00
Last column: nearest neighbours and their distance in Å.
Atoms (fractional coordinates):
Ce 0.0000 0.0000 0.0000  4 Sc 3.24, 4 Zr 3.24
Lu 0.5000 0.5000 0.5000  4 Sc 3.24, 4 Zr 3.24
Zr 0.2500 0.2500 0.2500  4 Lu 3.24, 4 Ce 3.24
Sc 0.7500 0.7500 0.7500  4 Ce 3.24, 4 Lu 3.24

Summary:
The energy is -6.1687 eV per atom. For the total magnetic moment, the calculation gives 0.0071 μB/atom. As for the density of states at the Fermi level: 2.29 states/eV per atom. The formation energy comes out at 0.165 eV/atom.

# 7
This record from Alexandria describes a relaxed La2AgBiS5 crystal. The functional is GGA-PBE.

a b c (Å): 9.0428 9.0428 11.9228
angles (deg): 90.00 90.00 153.31
Last column: nearest neighbours and their distance in Å.
Atoms (fractional coordinates):
La 0.1218 0.8782 0.5000  8 S 2.97-3.12
La 0.1277 0.8723 0.8783  8 S 2.94-3.19
La 0.8723 0.1277 0.3783  8 S 2.94-3.19
La 0.8782 0.1218 0.0000  8 S 2.97-3.12
Ag 0.2346 0.7654 0.2447  3 S 2.45-2.59
Ag 0.7654 0.2346 0.7447  3 S 2.45-2.59
Bi 0.4143 0.5857 0.6757  5 S 2.68-2.92
Bi 0.5857 0.4143 0.1757  5 S 2.68-2.92
S 0.0277 0.9723 0.2872  2 Bi 2.68, 1 La 2.94
S 0.2979 0.7021 0.5181  1 Bi 2.78, 3 La 2.97-3.11
S 0.3048 0.6952 0.8591  2 Ag 2.59
S 0.3688 0.6312 0.1886  1 Ag 2.45
S 0.4904 0.5096 0.4804  1 Bi 2.69
S 0.5096 0.4904 0.9804  1 Bi 2.69
S 0.6312 0.3688 0.6886  1 Ag 2.45
S 0.6952 0.3048 0.3591  2 Ag 2.59
S 0.7021 0.2979 0.0181  1 Bi 2.78, 3 La 2.97-3.11
S 0.9723 0.0277 0.7872  2 Bi 2.68, 1 La 2.94

Summary:
The energy is -5.3801 eV per atom. The value obtained for the formation energy without anion corrections is -1.244 eV per atom. For the total magnetic moment, the calculation gives 0.0000 μB/atom.

# 8
This record from Alexandria describes a relaxed Ta2TcRhN crystal. The functional is GGA-PBE.

a b c (Å): 4.9779 4.9779 3.5580
angles (deg): 90.00 90.00 90.00
Last column: nearest neighbours and their distance in Å.
Atoms (fractional coordinates):
Ta 0.0000 0.5000 0.0000  2 Rh 2.49
Ta 0.5000 0.0000 0.0000  2 Rh 2.49
Tc 0.0000 0.0000 0.5000  8 Ta 3.06
Rh 0.5000 0.5000 0.0000  2 N 1.78
N 0.5000 0.5000 0.5000  2 Rh 1.78

Summary:
The energy is -8.6899 eV per atom. The value obtained for the formation energy without anion corrections is 1.260 eV per atom. For the total magnetic moment, the calculation gives 0.0000 μB/atom. As for the density of states at the Fermi level: 0.68 states/eV per atom.